(1)
The following is a PBEsol calculation of an optimized crystal structure of KBa4Br, from Alexandria.

POSCAR file:
```
KBa4Br
1.0
0.000 5.627 5.627
5.627 0.000 5.627
5.627 5.627 0.000
K Ba Br
1 4 1
direct
0.000 0.000 0.000
0.375 0.375 0.375
0.375 0.375 0.874
0.375 0.874 0.375
0.874 0.375 0.375
0.750 0.750 0.750
```

- Crystal system: cubic
- Fermi-level density of states: 8.95 states/eV per cell
- Final energy: -1.882 eV/atom
- Formation energy without anion corrections: 0.0507 eV/atom

---

(2)
The following is a PBEsol calculation of an optimized crystal structure of KBa2Br, from Alexandria.

POSCAR file:
```
KBa2Br
1.0
-2.601 2.601 7.263
2.601 -2.601 7.263
2.601 2.601 -7.263
K Ba Br
1 2 1
direct
0.000 0.000 0.000
0.500 0.500 0.000
0.750 0.250 0.500
0.250 0.750 0.500
```

- Crystal system: tetragonal
- Polymorph energy (0 for the lowest one): 219 meV/atom
- Fermi-level density of states: 4.53 states/eV per cell
- Final energy: -2.218 eV/atom
- Formation energy without anion corrections: -0.3930 eV/atom

---

(3)
The following is a PBEsol calculation of an optimized crystal structure of KBaBr, from Alexandria.

POSCAR file:
```
KBaBr
1.0
0.000 4.080 4.080
4.080 0.000 4.080
4.080 4.080 0.000
K Ba Br
1 1 1
direct
0.000 0.000 0.000
0.250 0.250 0.250
0.750 0.750 0.750
```

- Crystal system: cubic
- Fermi-level density of states: 3.11 states/eV per cell
- Final energy: -2.022 eV/atom
- Formation energy without anion corrections: -0.3045 eV/atom